This record from Alexandria via LeMat-Bulk describes a relaxed KMoNO2 crystal. The functional is PBE+U.

Output
* crystal system: tetragonal
* total moment: 0.000 μB/f.u.
* electronic total energy: -3.695 eV per atom

Cell lengths 4.5226, 4.5226, 4.7059 Å; angles 90.00, 90.00, 90.00 degrees
Fractional coordinates of all 5 atoms:
K (0.0000, 0.0000, 0.0000)
Mo (0.5000, 0.5000, 0.5000)
N (0.0000, 0.0000, 0.5000)
O (0.0000, 0.5000, 0.0000)
O (0.5000, 0.0000, 0.0000)